# KNdSbSe3

Crystalline KNdSbSe3 at its relaxed geometry (PBE, the Open Quantum Materials Database).

```
data_KNdSbSe3
_cell_length_a 4.443
_cell_length_b 16.121
_cell_length_c 10.850
_cell_angle_alpha 90.00
_cell_angle_beta 90.00
_cell_angle_gamma 90.00
_space_group_name_H-M_alt 'C m c m'
_space_group_IT_number 63
_space_group_name_Hall '-C 2c 2'
loop_
_atom_site_label
_atom_site_type_symbol
_atom_site_fract_x
_atom_site_fract_y
_atom_site_fract_z
_atom_site_occupancy
K1 K 0.000 0.247 0.250 1
Nd1 Nd 0.000 0.000 0.000 1
Sb1 Sb 0.000 0.465 0.750 1
Se1 Se 0.000 0.100 0.750 1
Se2 Se 0.000 0.373 0.540 1
```

Output
Calculated total energy: -26.12 eV/f.u.



# NdSc4Ir3

Crystalline NdSc4Ir3 at its relaxed geometry (PBE, the Open Quantum Materials Database).

```
data_NdSc4Ir3
_cell_length_a 6.568
_cell_length_b 6.568
_cell_length_c 10.045
_cell_angle_alpha 90.00
_cell_angle_beta 90.00
_cell_angle_gamma 90.00
_space_group_name_H-M_alt 'I -4 2 m'
_space_group_IT_number 121
_space_group_name_Hall 'I -4 2'
loop_
_atom_site_label
_atom_site_type_symbol
_atom_site_fract_x
_atom_site_fract_y
_atom_site_fract_z
_atom_site_occupancy
Nd1 Nd 0.000 0.000 0.000 1
Sc1 Sc 0.178 0.178 0.312 1
Ir1 Ir 0.000 0.000 0.500 1
Ir2 Ir 0.000 0.500 0.250 1
```

Output
Energy relative to the elements: 4.8 kcal/mol of atoms



# Ga2HgMo

Crystalline Ga2HgMo at its relaxed geometry (PBE, the Open Quantum Materials Database).

```
data_Ga2HgMo
_cell_length_a 6.704
_cell_length_b 6.704
_cell_length_c 6.704
_cell_angle_alpha 90.00
_cell_angle_beta 90.00
_cell_angle_gamma 90.00
_space_group_name_H-M_alt 'F -4 3 m'
_space_group_IT_number 216
_space_group_name_Hall 'F -4 2 3'
loop_
_atom_site_label
_atom_site_type_symbol
_atom_site_fract_x
_atom_site_fract_y
_atom_site_fract_z
_atom_site_occupancy
Ga1 Ga 0.000 0.000 0.000 1
Ga2 Ga 0.250 0.250 0.250 1
Hg1 Hg 0.250 0.250 0.750 1
Mo1 Mo 0.000 0.000 0.500 1
```

Output
Calculated total energy: -14.77 eV/f.u.



Please write out number 2 again, unchanged.
# NdSc4Ir3

Crystalline NdSc4Ir3 at its relaxed geometry (PBE, the Open Quantum Materials Database).

```
data_NdSc4Ir3
_cell_length_a 6.568
_cell_length_b 6.568
_cell_length_c 10.045
_cell_angle_alpha 90.00
_cell_angle_beta 90.00
_cell_angle_gamma 90.00
_space_group_name_H-M_alt 'I -4 2 m'
_space_group_IT_number 121
_space_group_name_Hall 'I -4 2'
loop_
_atom_site_label
_atom_site_type_symbol
_atom_site_fract_x
_atom_site_fract_y
_atom_site_fract_z
_atom_site_occupancy
Nd1 Nd 0.000 0.000 0.000 1
Sc1 Sc 0.178 0.178 0.312 1
Ir1 Ir 0.000 0.000 0.500 1
Ir2 Ir 0.000 0.500 0.250 1
```

Output
Energy relative to the elements: 4.8 kcal/mol of atoms